First-principles (meta-GGA SCAN) data for a PBEsol-optimized structure of CdSb2TeH, as listed in Alexandria.

abc: 5.4644 5.4644 5.6237
angles: 90.00 90.00 90.00
Sites, in units of the cell vectors:
Cd 0.0000 0.0000 0.0000
Sb 0.0000 0.5000 0.0000
Sb 0.5000 0.0000 0.0000
Te 0.0000 0.0000 0.5000
H 0.5000 0.5000 0.5000

Computed properties:
The total energy comes out at -28.004 eV/atom. Its size of the total moment is 1.0 μB/f.u. The calculation puts the calculated density at 4.8 g/cm³.


First-principles (meta-GGA SCAN) data for a PBEsol-optimized structure of Sc2CdH2, as listed in Alexandria.

abc: 6.1412 6.1412 6.1412
angles: 147.32 147.32 46.88
Sites, in units of the cell vectors:
Sc 0.1568 0.1568 0.0000
Sc 0.8432 0.8432 0.0000
Cd 0.5000 0.5000 0.0000
H 0.2500 0.7500 0.5000
H 0.7500 0.2500 0.5000

Computed properties:
The total energy comes out at -13.826 eV/atom. Its size of the total moment is 0.0 μB/f.u. The calculation puts the calculated density at 5.0 g/cm³.


First-principles (meta-GGA SCAN) data for a PBEsol-optimized structure of Sc2CdH, as listed in Alexandria.

abc: 8.6057 8.6057 8.6057
angles: 22.12 22.12 22.12
Sites, in units of the cell vectors:
Sc 0.0729 0.0729 0.0729
Sc 0.9271 0.9271 0.9271
Cd 0.5000 0.5000 0.5000
H 0.0000 0.0000 0.0000

Computed properties:
The total energy comes out at -15.556 eV/atom. Its size of the total moment is 1.4 μB/f.u. The calculation puts the calculated density at 4.3 g/cm³.


First-principles (meta-GGA SCAN) data for a PBEsol-optimized structure of Cd3HSe, as listed in Alexandria.

abc: 4.5057 4.5057 4.5057
angles: 90.00 90.00 90.00
Sites, in units of the cell vectors:
Cd 0.0000 0.0000 0.5000
Cd 0.0000 0.5000 0.0000
Cd 0.5000 0.0000 0.0000
H 0.0000 0.0000 0.0000
Se 0.5000 0.5000 0.5000

Computed properties:
The total energy comes out at -22.696 eV/atom. Its size of the total moment is 0.0 μB/f.u. The calculation puts the calculated density at 7.6 g/cm³.


First-principles (meta-GGA SCAN) data for a PBEsol-optimized structure of Cd2HSe, as listed in Alexandria.

abc: 4.6543 4.6543 4.6543
angles: 60.00 60.00 60.00
Sites, in units of the cell vectors:
Cd 0.2500 0.2500 0.2500
Cd 0.7500 0.7500 0.7500
H 0.0000 0.0000 0.0000
Se 0.5000 0.5000 0.5000

Computed properties:
The total energy comes out at -20.809 eV/atom. Its size of the total moment is 0.0 μB/f.u. The calculation puts the calculated density at 7.1 g/cm³.


First-principles (meta-GGA SCAN) data for a PBEsol-optimized structure of Cd2SiH2, as listed in Alexandria.

abc: 5.3829 5.3829 4.8651
angles: 90.00 90.00 90.00
Sites, in units of the cell vectors:
Cd 0.1829 0.3171 0.0000
Cd 0.3171 0.8171 0.0000
Cd 0.6829 0.1829 0.0000
Cd 0.8171 0.6829 0.0000
Si 0.0000 0.0000 0.5000
Si 0.5000 0.5000 0.5000
H 0.2249 0.2751 0.5000
H 0.2751 0.7751 0.5000
H 0.7249 0.2249 0.5000
H 0.7751 0.7249 0.5000

Computed properties:
For the polymorph energy (0 for the lowest one), the calculation gives 192 meV/atom. The total energy comes out at -15.090 eV/atom. Its size of the total moment is 0.0 μB/f.u. The calculation puts the calculated density at 6.0 g/cm³.


- What is the formula in the third record?
  Sc2CdH


- What is the calculated density in the fifth record?
  7.1 g/cm³